No. 1
First-principles (PBE) data for a relaxed structure of Co5Cu, as listed in Alexandria via LeMat-Bulk.

abc: 6.559 6.559 2.609
angles: 90.00 90.00 143.14
Fractional positions:
1 Co 0.000 0.000 0.000
2 Co 0.164 0.836 0.500
3 Co 0.327 0.673 0.000
4 Co 0.673 0.327 0.000
5 Co 0.836 0.164 0.500
6 Cu 0.500 0.500 0.500

Computed properties:
- ρ: 8.83 g/cm³
- DOS at the Fermi energy: 1.120 states/eV per atom
- E: -38.75 eV/f.u.
- Space-group type: Cmmm, No. 65
- Formation energy from the elements: 146 meV per atom
- Offset from the most stable computed form: 87 meV/atom

***

No. 2
First-principles (PBE) data for a relaxed structure of CaZnSe2, as listed in Alexandria via LeMat-Bulk.

abc: 5.411 5.411 5.411
angles: 137.34 104.10 91.20
Fractional positions:
1 Ca 0.000 0.000 0.000
2 Zn 0.500 0.500 0.000
3 Se 0.281 0.781 0.500
4 Se 0.719 0.219 0.500

Computed properties:
- ρ: 4.41 g/cm³
- DOS at the Fermi energy: 0.035 states/eV per atom
- E: -13.95 eV/f.u.
- Space-group type: Immm, No. 71
- E_form (uncorrected): -0.927 eV per atom

***

> Which of these has the lowest DOS at the Fermi energy?

CaZnSe2